This record from Alexandria describes an optimized crystal structure of Na3CoSiBO7. The functional is PBE+U.

The structure belongs to space group P2_1/m (No. 11); the cell edges are 5.232, 6.333 and 8.985 Å and the angles 90.00°, 92.66° and 90.00°. The asymmetric unit holds Na at (0.231, 0.250, 0.083), Na at (0.254, 0.513, 0.734), Co at (0.214, 0.750, 0.332), Si at (0.281, 0.250, 0.432), B at (0.275, 0.750, 0.071), O at (0.038, 0.750, 0.137), O at (0.108, 0.250, 0.577), O at (0.215, 0.051, 0.316), O at (0.312, 0.750, 0.925), O at (0.410, 0.750, 0.521) and O at (0.467, 0.750, 0.185).

The size of the total moment is 1.023 μB per formula unit. The total energy is -161.29 eV/cell.